First-principles (GGA-PBE) data for a geometry-optimized NaPrI2 structure, as listed in Alexandria via LeMat-Bulk.

Properties
- energy above the lowest structure with this stoichiometry (meV per atom) = 74
- final energy (eV per atom) = -3.24

Geometry as POSCAR:
```
NaPrI2
1.0
-2.746 2.736 -1.416
-3.811 -1.230 -1.000
-5.514 2.473 9.457
I Na Pr
2 1 1
Cartesian
-7.555 2.097 0.663
-4.515 1.881 6.378
0.000 0.000 0.000
-6.035 1.989 3.521
```